PaSi2As | GGA-PBE | relaxed

Cell: 4.118 4.118 4.269 Å, 90.00 90.00 90.00°
Space group P4/mmm (No. 123)
Symmetry-distinct sites (fractional):
Pa 0.000 0.000 0.000
Si 0.000 0.500 0.500
As 0.500 0.500 0.000

Calculated values
- uncorrected formation energy (eV/atom) = -0.47



Pa2SiAs | GGA-PBE | relaxed

Cell: 5.780 5.780 11.566 Å, 90.00 90.00 90.00°
Space group Pmna (No. 53)
Symmetry-distinct sites (fractional):
Pa 0.000 0.250 0.123
Pa 0.000 0.250 0.627
Si 0.000 0.250 0.875
As 0.000 0.250 0.375

Calculated values
- offset from the most stable computed form (meV/atom) = 0
- uncorrected formation energy (eV/atom) = -0.73



Pa2SiAs | GGA-PBE | relaxed

Cell: 5.722 4.329 7.706 Å, 90.00 109.54 90.00°
Space group P2_1/m (No. 11)
Symmetry-distinct sites (fractional):
Pa 0.234 0.250 0.437
Pa 0.240 0.250 0.932
Si 0.299 0.750 0.701
As 0.301 0.750 0.200

Calculated values
- offset from the most stable computed form (meV/atom) = 111
- uncorrected formation energy (eV/atom) = -0.62



PaSiAs2 | GGA-PBE | relaxed

Cell: 3.3137 3.3137 27.1118 Å, 90.00 90.00 120.00°
Space group R-3m (No. 166, hexagonal axes)
Symmetry-distinct sites (fractional):
Pa 0.0000 0.0000 0.0000
Si 0.0000 0.0000 0.5000
As 0.0000 0.0000 0.1076

Calculated values
- offset from the most stable computed form (meV/atom) = 747
- uncorrected formation energy (eV/atom) = 0.21



Pa3SiAs2 | GGA-PBE | relaxed

Cell: 7.087 12.272 7.079 Å, 90.00 109.48 90.00°
Space group C2/m (No. 12)
Symmetry-distinct sites (fractional):
Pa 0.244 0.000 0.244
Pa 0.249 0.169 0.754
Si 0.000 0.167 0.000
As 0.000 0.000 0.500
As 0.000 0.335 0.500
As 0.000 0.500 0.000

Calculated values
- uncorrected formation energy (eV/atom) = -0.85



PaSiAs2 | GGA-PBE | relaxed

Cell: 4.339 4.339 4.033 Å, 90.00 90.00 90.00°
Space group P4/mmm (No. 123)
Symmetry-distinct sites (fractional):
Pa 0.000 0.000 0.000
Si 0.500 0.500 0.000
As 0.000 0.500 0.500

Calculated values
- offset from the most stable computed form (meV/atom) = 0
- uncorrected formation energy (eV/atom) = -0.53



Pa2SiAs | GGA-PBE | relaxed

Cell: 4.0894 4.0894 20.0068 Å, 90.00 90.00 120.00°
Space group R-3m (No. 166, hexagonal axes)
Symmetry-distinct sites (fractional):
Pa 0.0000 0.0000 0.2476
Si 0.0000 0.0000 0.5000
As 0.0000 0.0000 0.0000

Calculated values
- offset from the most stable computed form (meV/atom) = 0
- uncorrected formation energy (eV/atom) = -0.73



Pa2SiAs | GGA-PBE | relaxed

Cell: 3.478 3.478 7.019 Å, 90.00 90.00 90.00°
Space group P4/mmm (No. 123)
Symmetry-distinct sites (fractional):
Pa 0.000 0.000 0.244
Si 0.500 0.500 0.000
As 0.500 0.500 0.500

Calculated values
- offset from the most stable computed form (meV/atom) = 171
- uncorrected formation energy (eV/atom) = -0.56



Pa2SiAs3 | GGA-PBE | relaxed

Cell: 3.984 3.984 8.141 Å, 90.00 90.00 90.00°
Space group P-4m2 (No. 115)
Symmetry-distinct sites (fractional):
Pa 0.000 0.500 0.218
Si 0.000 0.000 0.500
As 0.000 0.500 0.856
As 0.500 0.500 0.500

Calculated values
- uncorrected formation energy (eV/atom) = -0.83



SmPaAs2 | GGA-PBE | relaxed

Cell: 4.1379 4.1379 13.6046 Å, 90.00 90.00 120.00°
Space group P6_3/mmc (No. 194)
Symmetry-distinct sites (fractional):
Sm 0.3333 0.6667 0.2500
Pa 0.0000 0.0000 0.0000
As 0.3333 0.6667 0.6187

Calculated values
- energy of formation from the pure elements (meV per atom) = -1262
- offset from the most stable computed form (meV/atom) = 0



SmPaAs2 | GGA-PBE | relaxed

Cell: 3.879 5.444 10.259 Å, 90.00 90.00 90.00°
Space group Pmmn (No. 59, origin choice 2)
Symmetry-distinct sites (fractional):
Sm 0.250 0.250 0.121
Pa 0.250 0.750 0.388
As 0.250 0.250 0.401
As 0.250 0.250 0.834

Calculated values
- energy of formation from the pure elements (meV per atom) = -866
- offset from the most stable computed form (meV/atom) = 396



Sm3PaAs4 | GGA-PBE | relaxed

Cell: 5.901 5.901 11.815 Å, 90.00 90.00 90.00°
Space group I4/mmm (No. 139)
Symmetry-distinct sites (fractional):
Sm 0.000 0.000 0.000
Sm 0.000 0.500 0.250
Pa 0.000 0.000 0.500
As 0.000 0.000 0.258
As 0.000 0.500 0.000

Calculated values
- energy of formation from the pure elements (meV per atom) = -1419



Sm3PaAs4 | GGA-PBE | relaxed

Cell: 8.352 11.806 4.183 Å, 90.00 90.00 90.00°
Space group Cmmm (No. 65)
Symmetry-distinct sites (fractional):
Sm 0.000 0.000 0.000
Sm 0.250 0.250 0.500
Pa 0.000 0.500 0.000
As 0.000 0.255 0.000
As 0.242 0.500 0.500

Calculated values
- energy of formation from the pure elements (meV per atom) = -1418



SmPaAs2 | GGA-PBE | relaxed

Cell: 4.2044 4.2044 25.8131 Å, 90.00 90.00 120.00°
Space group R-3m (No. 166, hexagonal axes)
Symmetry-distinct sites (fractional):
Sm 0.0000 0.0000 0.0000
Pa 0.0000 0.0000 0.5000
As 0.0000 0.0000 0.1097

Calculated values
- energy of formation from the pure elements (meV per atom) = -499
- offset from the most stable computed form (meV/atom) = 763



Sm5PaAs6 | GGA-PBE | relaxed

Cell: 7.256 12.565 7.252 Å, 90.00 109.45 90.00°
Space group C2/m (No. 12)
Symmetry-distinct sites (fractional):
Sm 0.000 0.000 0.000
Sm 0.000 0.166 0.500
Sm 0.000 0.331 0.000
Pa 0.000 0.500 0.500
As 0.242 0.500 0.255
As 0.244 0.338 0.745

Calculated values
- energy of formation from the pure elements (meV per atom) = -1469



Sm5Pa3As8 | GGA-PBE | relaxed

Cell: 8.3242 8.3242 20.3891 Å, 90.00 90.00 120.00°
Space group R-3m (No. 166, hexagonal axes)
Symmetry-distinct sites (fractional):
Sm 0.0000 0.0000 0.0000
Sm 0.0000 0.0000 0.5000
Sm 0.0000 0.5000 0.0000
Pa 0.0000 0.5000 0.5000
As 0.0000 0.0000 0.2470
As 0.0056 0.5028 0.7528

Calculated values
- energy of formation from the pure elements (meV per atom) = -1353



SmPaAs2 | GGA-PBE | relaxed

Cell: 4.0876 4.0876 21.3109 Å, 90.00 90.00 120.00°
Space group R3m (No. 160, hexagonal axes)
Symmetry-distinct sites (fractional):
Sm 0.0000 0.0000 0.0000
Pa 0.0000 0.0000 0.1763
As 0.0000 0.0000 0.5852
As 0.0000 0.0000 0.7604

Calculated values
- energy of formation from the pure elements (meV per atom) = -1151
- offset from the most stable computed form (meV/atom) = 111



Sr4SmPa3As8 | GGA-PBE | relaxed

Cell: 8.5373 8.5373 21.3775 Å, 90.00 90.00 120.00°
Space group R-3m (No. 166, hexagonal axes)
Symmetry-distinct sites (fractional):
Sr 0.0000 0.0000 0.0000
Sr 0.0000 0.5000 0.0000
Sm 0.0000 0.0000 0.5000
Pa 0.0000 0.5000 0.5000
As 0.0000 0.0000 0.2393
As 0.0096 0.5048 0.7601

Calculated values
- energy of formation from the pure elements (meV per atom) = -1208



Sr3Sm2PaAs6 | GGA-PBE | relaxed

Cell: 7.462 12.939 7.567 Å, 90.00 109.27 90.00°
Space group C2/m (No. 12)
Symmetry-distinct sites (fractional):
Sr 0.000 0.000 0.000
Sr 0.000 0.330 0.000
Sm 0.000 0.166 0.500
Pa 0.000 0.500 0.500
As 0.235 0.339 0.722
As 0.247 0.500 0.277

Calculated values
- energy of formation from the pure elements (meV per atom) = -1250



Sr3SmPa2As6 | GGA-PBE | relaxed

Cell: 7.399 12.813 7.545 Å, 90.00 109.08 90.00°
Space group C2/m (No. 12)
Symmetry-distinct sites (fractional):
Sr 0.000 0.000 0.000
Sr 0.000 0.336 0.000
Sm 0.000 0.500 0.500
Pa 0.000 0.167 0.500
As 0.228 0.000 0.719
As 0.246 0.328 0.720

Calculated values
- energy of formation from the pure elements (meV per atom) = -1240